No. 1
First-principles (PBE) data for crystalline KHf2BeRh at its relaxed geometry, as listed in the Alexandria database.

CIF file:
```
data_KHf2BeRh
_space_group_name_H-M_alt 'P 1'
_space_group_IT_number 1
_space_group_name_Hall 'P 1'
_cell_length_a 4.9105
_cell_length_b 4.9105
_cell_length_c 4.2647
_cell_angle_alpha 90.00
_cell_angle_beta 90.00
_cell_angle_gamma 90.00
loop_
_atom_site_label
_atom_site_type_symbol
_atom_site_fract_x
_atom_site_fract_y
_atom_site_fract_z
K1 K 0.0000 0.0000 0.0000
Hf1 Hf 0.0000 0.5000 0.5000
Hf2 Hf 0.5000 0.0000 0.5000
Be1 Be 0.5000 0.5000 0.5000
Rh1 Rh 0.5000 0.5000 0.0000
```

Properties
Formation enthalpy at 0 K = 3.33 eV per formula unit
Calculated total energy = -5.750 eV/atom
Crystal system = tetragonal

---

No. 2
First-principles (PBE) data for crystalline K2HfBeRu at its relaxed geometry, as listed in the Alexandria database.

CIF file:
```
data_K2HfBeRu
_space_group_name_H-M_alt 'P 1'
_space_group_IT_number 1
_space_group_name_Hall 'P 1'
_cell_length_a 6.8744
_cell_length_b 6.8744
_cell_length_c 4.5992
_cell_angle_alpha 90.00
_cell_angle_beta 90.00
_cell_angle_gamma 90.00
loop_
_atom_site_label
_atom_site_type_symbol
_atom_site_fract_x
_atom_site_fract_y
_atom_site_fract_z
K1 K 0.0000 0.5000 0.0000
K2 K 0.5000 0.0000 0.0000
Hf1 Hf 0.0000 0.0000 0.0000
Be1 Be 0.5000 0.5000 0.5000
Ru1 Ru 0.0000 0.0000 0.5000
```

Properties
Formation enthalpy at 0 K = 7.63 eV per formula unit
Calculated total energy = -3.504 eV/atom
Crystal system = tetragonal

---

No. 3
First-principles (PBE) data for crystalline KHf2BeSb at its relaxed geometry, as listed in the Alexandria database.

CIF file:
```
data_KHf2BeSb
_space_group_name_H-M_alt 'P 1'
_space_group_IT_number 1
_space_group_name_Hall 'P 1'
_cell_length_a 4.8817
_cell_length_b 4.8817
_cell_length_c 5.4630
_cell_angle_alpha 90.00
_cell_angle_beta 90.00
_cell_angle_gamma 90.00
loop_
_atom_site_label
_atom_site_type_symbol
_atom_site_fract_x
_atom_site_fract_y
_atom_site_fract_z
K1 K 0.0000 0.0000 0.0000
Hf1 Hf 0.0000 0.5000 0.0000
Hf2 Hf 0.5000 0.0000 0.0000
Be1 Be 0.5000 0.5000 0.5000
Sb1 Sb 0.0000 0.0000 0.5000
```

Properties
Calculated total energy = -3.445 eV/atom
Crystal system = tetragonal

---

No. 4
First-principles (PBE) data for crystalline KHf2BeTc at its relaxed geometry, as listed in the Alexandria database.

CIF file:
```
data_KHf2BeTc
_space_group_name_H-M_alt 'P 1'
_space_group_IT_number 1
_space_group_name_Hall 'P 1'
_cell_length_a 4.9209
_cell_length_b 4.9209
_cell_length_c 6.0920
_cell_angle_alpha 90.00
_cell_angle_beta 90.00
_cell_angle_gamma 90.00
loop_
_atom_site_label
_atom_site_type_symbol
_atom_site_fract_x
_atom_site_fract_y
_atom_site_fract_z
K1 K 0.0000 0.0000 0.0000
Hf1 Hf 0.0000 0.5000 0.5000
Hf2 Hf 0.5000 0.0000 0.5000
Be1 Be 0.5000 0.5000 0.0000
Tc1 Tc 0.0000 0.0000 0.5000
```

Properties
Formation enthalpy at 0 K = 6.75 eV per formula unit
Calculated total energy = -5.670 eV/atom
Crystal system = tetragonal

---

No. 5
First-principles (PBE) data for crystalline La2HfBe at its relaxed geometry, as listed in the Alexandria database.

CIF file:
```
data_La2HfBe
_space_group_name_H-M_alt 'P 1'
_space_group_IT_number 1
_space_group_name_Hall 'P 1'
_cell_length_a 4.2806
_cell_length_b 4.2806
_cell_length_c 21.8732
_cell_angle_alpha 90.00
_cell_angle_beta 90.00
_cell_angle_gamma 90.00
loop_
_atom_site_label
_atom_site_type_symbol
_atom_site_fract_x
_atom_site_fract_y
_atom_site_fract_z
La1 La 0.2441 0.2500 0.1250
La2 La 0.2500 0.7441 0.3750
La3 La 0.2500 0.7559 0.8750
La4 La 0.2559 0.2500 0.6250
La5 La 0.7441 0.7500 0.6250
La6 La 0.7500 0.2441 0.8750
La7 La 0.7500 0.2559 0.3750
La8 La 0.7559 0.7500 0.1250
Hf1 Hf 0.0000 0.0000 0.5000
Hf2 Hf 0.0000 0.5000 0.7500
Hf3 Hf 0.5000 0.0000 0.2500
Hf4 Hf 0.5000 0.5000 0.0000
Be1 Be 0.0000 0.0000 0.0000
Be2 Be 0.0000 0.5000 0.2500
Be3 Be 0.5000 0.0000 0.7500
Be4 Be 0.5000 0.5000 0.5000
```

Properties
Formation enthalpy at 0 K = 2.97 eV per formula unit
Calculated total energy = -5.141 eV/atom
Crystal system = tetragonal

---

No. 6
First-principles (PBE) data for crystalline La3HfBe at its relaxed geometry, as listed in the Alexandria database.

CIF file:
```
data_La3HfBe
_space_group_name_H-M_alt 'P 1'
_space_group_IT_number 1
_space_group_name_Hall 'P 1'
_cell_length_a 5.7074
_cell_length_b 5.7074
_cell_length_c 5.7074
_cell_angle_alpha 90.00
_cell_angle_beta 90.00
_cell_angle_gamma 90.00
loop_
_atom_site_label
_atom_site_type_symbol
_atom_site_fract_x
_atom_site_fract_y
_atom_site_fract_z
La1 La 0.0000 0.0000 0.5000
La2 La 0.0000 0.5000 0.0000
La3 La 0.5000 0.0000 0.0000
Hf1 Hf 0.0000 0.0000 0.0000
Be1 Be 0.5000 0.5000 0.5000
```

Properties
Formation enthalpy at 0 K = 4.83 eV per formula unit
Energy above the lowest structure with this stoichiometry = 318.0 meV/atom
Calculated total energy = -4.727 eV/atom
Crystal system = cubic

---

No. 7
First-principles (PBE) data for crystalline La3HfBe at its relaxed geometry, as listed in the Alexandria database.

CIF file:
```
data_La3HfBe
_space_group_name_H-M_alt 'P 1'
_space_group_IT_number 1
_space_group_name_Hall 'P 1'
_cell_length_a 5.3887
_cell_length_b 5.3887
_cell_length_c 5.3887
_cell_angle_alpha 90.00
_cell_angle_beta 90.00
_cell_angle_gamma 90.00
loop_
_atom_site_label
_atom_site_type_symbol
_atom_site_fract_x
_atom_site_fract_y
_atom_site_fract_z
La1 La 0.0000 0.0000 0.5000
La2 La 0.0000 0.5000 0.0000
La3 La 0.5000 0.0000 0.0000
Hf1 Hf 0.5000 0.5000 0.5000
Be1 Be 0.0000 0.0000 0.0000
```

Properties
Formation enthalpy at 0 K = 3.24 eV per formula unit
Energy above the lowest structure with this stoichiometry = 0.0 meV/atom
Calculated total energy = -5.045 eV/atom
Crystal system = cubic

---

No. 8
First-principles (PBE) data for crystalline LaHfMgBe2 at its relaxed geometry, as listed in the Alexandria database.

CIF file:
```
data_LaHfMgBe2
_space_group_name_H-M_alt 'P 1'
_space_group_IT_number 1
_space_group_name_Hall 'P 1'
_cell_length_a 4.9795
_cell_length_b 4.9795
_cell_length_c 5.2371
_cell_angle_alpha 90.00
_cell_angle_beta 90.00
_cell_angle_gamma 90.00
loop_
_atom_site_label
_atom_site_type_symbol
_atom_site_fract_x
_atom_site_fract_y
_atom_site_fract_z
La1 La 0.0000 0.0000 0.0000
Hf1 Hf 0.0000 0.0000 0.5000
Mg1 Mg 0.5000 0.5000 0.5000
Be1 Be 0.0000 0.5000 0.0000
Be2 Be 0.5000 0.0000 0.0000
```

Properties
Formation enthalpy at 0 K = 8.61 eV per formula unit
Calculated total energy = -3.064 eV/atom
Crystal system = tetragonal